<A>
Here is a relaxed VInIN2 crystal from the Alexandria database. Energies are from PBE.

magnetization = 2.303 μB per formula unit
N(E_F) = 5.70 states/eV/f.u.

a = 4.153 Å, b = 4.153 Å, c = 5.810 Å
α = 90.00°, β = 90.00°, γ = 90.00°
Each line ends with the local moment (μB).
Fractional positions:
N 0.500 0.000 0.000  -0.59
N 0.000 0.500 0.000  -0.59
I 0.000 0.000 0.500  -0.01
V 0.500 0.500 0.500  -0.64
In 0.000 0.000 0.000  0.00


<B>
Here is a relaxed VInIN2 crystal from the Alexandria database. Energies are from PBE.

magnetization = 0.000 μB per formula unit
N(E_F) = 5.62 states/eV/f.u.

a = 4.031 Å, b = 4.031 Å, c = 5.964 Å
α = 90.00°, β = 90.00°, γ = 90.00°
Fractional positions:
In 0.500 0.500 0.500
N 0.000 0.500 0.000
N 0.500 0.000 0.000
I 0.000 0.000 0.500
V 0.000 0.000 0.000


Which is the most stable structure? <B> is the most stable.


<A>
Here is a relaxed YInI2N crystal from the Alexandria database. Energies are from PBE.

magnetization = 0.000 μB per formula unit
N(E_F) = 0.91 states/eV/f.u.

a = 6.130 Å, b = 6.130 Å, c = 3.898 Å
α = 90.00°, β = 90.00°, γ = 90.00°
Fractional positions:
I 0.000 0.500 0.000
I 0.500 0.000 0.000
Y 0.500 0.500 0.500
N 0.000 0.000 0.500
In 0.000 0.000 0.000


<B>
Here is a relaxed YInI2N crystal from the Alexandria database. Energies are from PBE.

magnetization = 1.002 μB per formula unit
N(E_F) = 2.90 states/eV/f.u.

a = 6.111 Å, b = 6.111 Å, c = 4.731 Å
α = 90.00°, β = 90.00°, γ = 90.00°
Each line ends with the local moment (μB).
Fractional positions:
N 0.000 0.000 0.500  0.66
I 0.500 0.000 0.000  0.02
I 0.000 0.500 0.000  0.02
In 0.500 0.500 0.500  -0.01
Y 0.000 0.000 0.000  -0.05


Which is the most stable structure? <B> is the most stable.


<A>
Here is a relaxed ZnInIN2 crystal from the Alexandria database. Energies are from PBE.

magnetization = 2.747 μB per formula unit
N(E_F) = 2.51 states/eV/f.u.

a = 4.216 Å, b = 4.216 Å, c = 7.050 Å
α = 90.00°, β = 90.00°, γ = 90.00°
Each line ends with the local moment (μB).
Fractional positions:
In 0.000 0.000 0.000  -0.03
N 0.000 0.500 0.000  0.95
N 0.500 0.000 0.000  0.95
Zn 0.500 0.500 0.500  0.00
I 0.000 0.000 0.500  0.00


<B>
Here is a relaxed ZnInIN2 crystal from the Alexandria database. Energies are from PBE.

magnetization = 3.740 μB per formula unit
N(E_F) = 1.62 states/eV/f.u.

a = 4.307 Å, b = 4.307 Å, c = 5.807 Å
α = 90.00°, β = 90.00°, γ = 90.00°
Each line ends with the local moment (μB).
Fractional positions:
N 0.000 0.500 0.000  1.19
N 0.500 0.000 0.000  1.19
In 0.500 0.500 0.500  0.04
I 0.000 0.000 0.500  0.11
Zn 0.000 0.000 0.000  0.03


Which is the most stable structure? <A> is the most stable.


<A>
Here is a relaxed Na2InI crystal from the Alexandria database. Energies are from PBE.

magnetization = 0.000 μB per formula unit
N(E_F) = 0.09 states/eV/f.u.

a = 8.688 Å, b = 8.688 Å, c = 7.162 Å
α = 52.66°, β = 52.66°, γ = 90.00°
Fractional positions:
In 0.500 0.500 0.000
In 0.250 0.750 0.500
Na 0.875 0.892 0.750
Na 0.375 0.358 0.750
Na 0.642 0.125 0.250
Na 0.108 0.625 0.250
I 0.750 0.250 0.500
I 0.000 0.000 0.000


<B>
Here is a relaxed Na2InI crystal from the Alexandria database. Energies are from PBE.

magnetization = 0.000 μB per formula unit
N(E_F) = 3.32 states/eV/f.u.

a = 5.706 Å, b = 5.706 Å, c = 5.706 Å
α = 60.00°, β = 60.00°, γ = 60.00°
Fractional positions:
Na 0.250 0.250 0.250
Na 0.750 0.750 0.750
In 0.000 0.000 0.000
I 0.500 0.500 0.500


<C>
Here is a relaxed Na2InI crystal from the Alexandria database. Energies are from PBE.

magnetization = 0.000 μB per formula unit
N(E_F) = 1.14 states/eV/f.u.

a = 3.911 Å, b = 3.911 Å, c = 8.069 Å
α = 90.00°, β = 90.00°, γ = 90.00°
Fractional positions:
I 0.500 0.500 0.000
In 0.500 0.500 0.500
Na 0.000 0.000 0.761
Na 0.000 0.000 0.239


Which is the most stable structure? <C> is the most stable.


<A>
Here is a relaxed Na2InI3 crystal from the Alexandria database. Energies are from PBE.

magnetization = 0.000 μB per formula unit
N(E_F) = 0.00 states/eV/f.u.

a = 7.659 Å, b = 9.456 Å, c = 9.456 Å
α = 116.81°, β = 90.00°, γ = 90.00°
Fractional positions:
Na 0.500 0.816 0.816
Na 0.000 0.816 0.816
Na 0.000 0.184 0.184
Na 0.500 0.184 0.184
In 0.750 0.756 0.244
In 0.250 0.244 0.756
I 0.250 0.409 0.137
I 0.250 0.897 0.103
I 0.750 0.103 0.897
I 0.250 0.863 0.591
I 0.750 0.137 0.409
I 0.750 0.591 0.863


<B>
Here is a relaxed Na2InI3 crystal from the Alexandria database. Energies are from PBE.

magnetization = 0.000 μB per formula unit
N(E_F) = 0.00 states/eV/f.u.

a = 6.752 Å, b = 9.514 Å, c = 14.172 Å
α = 90.00°, β = 90.00°, γ = 89.99°
Fractional positions:
In 0.751 0.628 0.580
In 0.249 0.872 0.080
In 0.751 0.128 0.920
In 0.249 0.372 0.420
I 0.249 0.129 0.245
I 0.751 0.871 0.755
I 0.250 0.109 0.592
I 0.251 0.143 0.909
I 0.249 0.629 0.255
I 0.750 0.891 0.408
I 0.250 0.609 0.908
I 0.251 0.643 0.591
I 0.749 0.857 0.091
I 0.749 0.357 0.409
I 0.751 0.371 0.745
I 0.750 0.391 0.092
Na 0.250 0.882 0.416
Na 0.250 0.382 0.084
Na 0.750 0.118 0.584
Na 0.749 0.625 0.258
Na 0.750 0.618 0.916
Na 0.251 0.375 0.742
Na 0.749 0.125 0.242
Na 0.251 0.875 0.758


Which is the most stable structure? <B> is the most stable.


<A>
Here is a relaxed Na2InI4 crystal from the Alexandria database. Energies are from PBE.

magnetization = 0.608 μB per formula unit
N(E_F) = 5.23 states/eV/f.u.

a = 7.379 Å, b = 7.379 Å, c = 8.338 Å
α = 116.26°, β = 116.26°, γ = 90.00°
Each line ends with the local moment (μB).
Fractional positions:
I 0.132 0.132 0.760  0.06
I 0.868 0.372 0.240  0.06
I 0.628 0.628 0.760  0.06
I 0.372 0.868 0.240  0.06
Na 0.750 0.250 0.500  0.00
Na 0.250 0.750 0.500  0.00
In 0.500 0.500 0.000  0.16


<B>
Here is a relaxed Na2InI4 crystal from the Alexandria database. Energies are from PBE.

magnetization = 0.000 μB per formula unit
N(E_F) = 1.97 states/eV/f.u.

a = 6.067 Å, b = 6.067 Å, c = 9.306 Å
α = 70.98°, β = 70.98°, γ = 90.00°
Fractional positions:
Na 0.632 0.632 0.737
Na 0.368 0.368 0.263
I 0.000 0.500 0.000
I 0.500 0.000 0.000
I 0.186 0.186 0.628
I 0.814 0.814 0.372
In 0.000 0.000 0.000


Which is the most stable structure? <A> is the most stable.


<A>
Here is a relaxed NaIn2I6 crystal from the Alexandria database. Energies are from PBE.

magnetization = 1.020 μB per formula unit
N(E_F) = 2.78 states/eV/f.u.

a = 7.906 Å, b = 7.906 Å, c = 9.499 Å
α = 65.41°, β = 65.41°, γ = 60.00°
Each line ends with the local moment (μB).
Fractional positions:
In 0.274 0.274 0.179  0.11
In 0.394 0.394 0.819  0.11
I 0.577 0.263 0.259  0.07
I 0.747 0.071 0.740  0.07
I 0.071 0.442 0.740  0.07
I 0.263 0.901 0.259  0.07
I 0.901 0.577 0.259  0.07
I 0.442 0.747 0.740  0.07
Na 0.666 0.666 0.002  0.00


<B>
Here is a relaxed NaIn2I6 crystal from the Alexandria database. Energies are from PBE.

magnetization = 0.000 μB per formula unit
N(E_F) = 3.42 states/eV/f.u.

a = 9.176 Å, b = 10.487 Å, c = 10.487 Å
α = 83.23°, β = 74.38°, γ = 74.38°
Fractional positions:
I 0.817 0.958 0.364
I 0.640 0.993 0.806
I 0.545 0.641 0.626
I 0.860 0.194 0.007
I 0.317 0.364 0.958
I 0.955 0.374 0.359
I 0.045 0.626 0.641
I 0.683 0.636 0.042
I 0.360 0.007 0.194
I 0.140 0.806 0.993
I 0.183 0.042 0.636
I 0.455 0.359 0.374
In 0.757 0.810 0.604
In 0.243 0.190 0.396
In 0.743 0.396 0.190
In 0.257 0.604 0.810
Na 0.250 0.092 0.908
Na 0.750 0.908 0.092


Which is the most stable structure? <B> is the most stable.


<A>
Here is a relaxed NaInSb2I crystal from the Alexandria database. Energies are from PBE.

magnetization = 1.014 μB per formula unit
N(E_F) = 4.44 states/eV/f.u.

a = 5.632 Å, b = 5.632 Å, c = 6.554 Å
α = 90.00°, β = 90.00°, γ = 90.00°
Each line ends with the local moment (μB).
Fractional positions:
In 0.000 0.000 0.000  -0.01
I 0.000 0.000 0.500  0.08
Na 0.500 0.500 0.500  0.00
Sb 0.500 0.000 0.000  0.17
Sb 0.000 0.500 0.000  0.17


<B>
Here is a relaxed NaInSb2I crystal from the Alexandria database. Energies are from PBE.

magnetization = 2.351 μB per formula unit
N(E_F) = 3.77 states/eV/f.u.

a = 5.879 Å, b = 5.879 Å, c = 6.613 Å
α = 90.00°, β = 90.00°, γ = 90.00°
Each line ends with the local moment (μB).
Fractional positions:
In 0.500 0.500 0.500  0.02
Sb 0.000 0.500 0.000  0.38
Sb 0.500 0.000 0.000  0.38
Na 0.000 0.000 0.000  0.00
I 0.000 0.000 0.500  0.16


Which is the most stable structure? <A> is the most stable.